VASP calculation (PBE-GGA) on a geometry-optimized Ag8AuSe6 structure.

Output
Its electronic total energy is -3.109 eV/atom.

abc: 8.2994 8.2994 8.2994
angles: 53.12 53.12 53.12
Last column: nearest neighbours and their distance in Å.
Fractional coordinates of all 15 atoms:
Ag1 0.0913 0.0913 0.0913  3 Se 2.66
Ag2 0.1300 0.6207 0.3215  3 Se 2.63-2.80, 3 Ag 2.80-2.88
Ag3 0.3215 0.1300 0.6207  3 Se 2.63-2.80, 3 Ag 2.80-2.88
Ag4 0.3793 0.6785 0.8700  3 Se 2.63-2.80, 3 Ag 2.80-2.88
Ag5 0.6207 0.3215 0.1300  3 Se 2.63-2.80, 3 Ag 2.80-2.88
Ag6 0.6785 0.8700 0.3793  3 Se 2.63-2.80, 3 Ag 2.80-2.88
Ag7 0.8700 0.3793 0.6785  3 Se 2.63-2.80, 3 Ag 2.80-2.88
Ag8 0.9087 0.9087 0.9087  3 Se 2.66
Au1 0.5000 0.5000 0.5000  6 Se 2.76
Se1 0.1023 0.4576 0.7432  4 Ag 2.63-2.80, 1 Au 2.76
Se2 0.2568 0.8977 0.5424  4 Ag 2.63-2.80, 1 Au 2.76
Se3 0.4576 0.7432 0.1023  4 Ag 2.63-2.80, 1 Au 2.76
Se4 0.5424 0.2568 0.8977  4 Ag 2.63-2.80, 1 Au 2.76
Se5 0.7432 0.1023 0.4576  4 Ag 2.63-2.80, 1 Au 2.76
Se6 0.8977 0.5424 0.2568  4 Ag 2.63-2.80, 1 Au 2.76